No. 1
This record from the Alexandria database describes crystalline PtAu at its relaxed geometry. The functional is PBE.

Cell and atoms, written as POSCAR:
```
PtAu
1.0
-2.695 -2.467 -3.100
3.142 -3.748 0.251
-3.002 -2.223 4.379
Au Pt
4 4
Direct
0.250 0.575 0.375 Au
0.750 0.425 0.625 Au
0.750 0.925 0.875 Au
0.250 0.075 0.125 Au
0.250 0.064 0.626 Pt
0.750 0.936 0.374 Pt
0.250 0.564 0.874 Pt
0.750 0.436 0.126 Pt
```

## Properties
The calculation puts the density of states at the Fermi level at 3.37 states/eV/f.u. The space group is Pnma (62). The formation energy comes out at 99 meV per atom. As for the crystal system: orthorhombic.



No. 2
This record from the Alexandria database describes crystalline LiMgGa2Rh at its relaxed geometry. The functional is PBE.

Cell and atoms, written as POSCAR:
```
LiMgGa2Rh
1.0
-0.561 -2.666 -3.348
0.763 -3.517 2.673
-4.216 -0.235 0.894
Rh Ga Mg Li
1 2 1 1
Direct
0.500 0.500 0.500 Rh
0.500 0.000 0.000 Ga
0.000 0.000 0.500 Ga
0.000 0.500 0.000 Mg
0.000 0.000 0.000 Li
```

## Properties
The calculation puts the density of states at the Fermi level at 3.29 states/eV/f.u. The space group is P4/mmm (123). The formation energy comes out at 433 meV per atom. As for the crystal system: tetragonal.



No. 3
This record from the Alexandria database describes crystalline SiPbAu3 at its relaxed geometry. The functional is PBE.

Cell and atoms, written as POSCAR:
```
SiPbAu3
1.0
4.671 0.000 0.000
0.000 9.451 0.000
0.000 0.000 9.825
Au Pb Si
12 4 4
Direct
0.250 0.409 0.216 Au
0.750 0.091 0.716 Au
0.750 0.317 0.912 Au
0.250 0.909 0.284 Au
0.750 0.092 0.252 Au
0.250 0.183 0.412 Au
0.750 0.817 0.588 Au
0.750 0.592 0.248 Au
0.250 0.908 0.748 Au
0.250 0.683 0.088 Au
0.750 0.591 0.784 Au
0.250 0.408 0.752 Au
0.750 0.356 0.522 Pb
0.250 0.644 0.478 Pb
0.250 0.144 0.022 Pb
0.750 0.856 0.978 Pb
0.750 0.335 0.158 Si
0.250 0.665 0.842 Si
0.750 0.835 0.342 Si
0.250 0.165 0.658 Si
```

## Properties
The calculation puts the density of states at the Fermi level at 1.50 states/eV/f.u. The calculation puts the uncorrected formation energy at -0.052 eV per atom. The space group is Pnma (62). As for the crystal system: orthorhombic. The relative energy among the computed polymorphs is 0.000 eV/atom.



No. 4
This record from the Alexandria database describes crystalline Ce2SmHo3Er6 at its relaxed geometry. The functional is PBE.

Cell and atoms, written as POSCAR:
```
Ce2SmHo3Er6
1.0
6.100 0.000 0.008
-3.048 5.284 0.008
-1.033 -1.789 11.463
Er Sm Ho Ce
6 1 3 2
Direct
0.916 0.580 0.750 Er
0.252 0.252 0.750 Er
0.748 0.748 0.250 Er
0.084 0.420 0.250 Er
0.580 0.916 0.750 Er
0.420 0.084 0.250 Er
0.000 0.000 0.000 Sm
0.166 0.834 0.500 Ho
0.834 0.166 0.500 Ho
0.500 0.500 0.500 Ho
0.667 0.333 0.000 Ce
0.333 0.667 0.000 Ce
```

## Properties
The calculation puts the density of states at the Fermi level at 21.72 states/eV/f.u. The space group is C2/m (12). The formation energy comes out at 49 meV per atom. As for the crystal system: monoclinic.



No. 5
This record from the Alexandria database describes crystalline Hf2NpH8 at its relaxed geometry. The functional is PBE.

Cell and atoms, written as POSCAR:
```
Hf2NpH8
1.0
3.036 0.000 -0.924
-0.841 4.868 -2.765
0.120 0.048 5.844
H Hf Np
8 2 1
Direct
0.000 0.711 0.000 H
0.664 0.896 0.329 H
0.829 0.829 0.658 H
0.336 0.104 0.671 H
0.336 0.567 0.671 H
0.664 0.433 0.329 H
0.000 0.289 0.000 H
0.171 0.171 0.342 H
0.172 0.672 0.344 Hf
0.828 0.328 0.656 Hf
0.500 0.000 0.000 Np
```

## Properties
The calculation puts the density of states at the Fermi level at 5.29 states/eV/f.u. The space group is Immm (71). As for the crystal system: orthorhombic.



No. 6
This record from the Alexandria database describes crystalline RbBiPb2 at its relaxed geometry. The functional is PBE.

Cell and atoms, written as POSCAR:
```
RbBiPb2
1.0
5.127 0.000 0.000
0.000 5.185 0.000
0.000 0.000 5.185
Rb Bi Pb
1 1 2
Direct
0.500 0.500 0.500 Rb
0.500 0.000 0.000 Bi
0.000 0.500 0.000 Pb
0.000 0.000 0.500 Pb
```

## Properties
The calculation puts the density of states at the Fermi level at 2.60 states/eV/f.u. The space group is P4/mmm (123). The formation energy comes out at -24 meV per atom. As for the crystal system: tetragonal.



No. 7
This record from the Alexandria database describes crystalline K2CoOs at its relaxed geometry. The functional is PBE.

Cell and atoms, written as POSCAR:
```
K2CoOs
1.0
4.957 -0.024 0.000
0.023 4.957 0.000
-2.490 -2.467 3.505
K Co Os
2 1 1
Direct
0.250 0.750 0.500 K
0.000 0.000 0.000 K
0.750 0.250 0.500 Co
0.500 0.500 0.000 Os
```

## Properties
The calculation puts the density of states at the Fermi level at 3.59 states/eV/f.u. The space group is F-43m (216). The formation energy comes out at 1593 meV per atom. As for the crystal system: cubic. The relative energy among the computed polymorphs is 0.844 eV/atom.



No. 8
This record from the Alexandria database describes crystalline Ac2AlAuO6 at its relaxed geometry. The functional is PBE.

Cell and atoms, written as POSCAR:
```
Ac2AlAuO6
1.0
5.534 0.000 0.000
0.000 5.714 0.000
0.000 0.000 8.668
Ac O Al Au
4 12 2 2
Direct
0.500 0.772 0.240 Ac
0.000 0.228 0.260 Ac
0.000 0.228 0.740 Ac
0.500 0.772 0.760 Ac
0.751 0.035 0.000 O
0.500 0.200 0.290 O
0.500 0.200 0.710 O
0.000 0.800 0.790 O
0.256 0.554 0.000 O
0.249 0.035 0.000 O
0.000 0.800 0.210 O
0.756 0.446 0.500 O
0.749 0.965 0.500 O
0.251 0.965 0.500 O
0.244 0.446 0.500 O
0.744 0.554 0.000 O
0.000 0.773 0.000 Al
0.500 0.227 0.500 Al
0.500 0.291 0.000 Au
0.000 0.709 0.500 Au
```

## Properties
The calculation puts the uncorrected formation energy at -2.337 eV per atom. The space group is Pmmn (59). As for the crystal system: orthorhombic.



No. 9
This record from the Alexandria database describes crystalline ScTlCu2 at its relaxed geometry. The functional is PBE.

Cell and atoms, written as POSCAR:
```
ScTlCu2
1.0
7.360 0.000 0.000
0.000 7.360 0.000
3.680 3.680 2.920
Tl Cu Sc
2 4 2
Direct
0.000 0.000 0.000 Tl
0.750 0.250 0.500 Tl
0.125 0.625 0.250 Cu
0.625 0.125 0.250 Cu
0.375 0.375 0.750 Cu
0.875 0.875 0.750 Cu
0.250 0.750 0.500 Sc
0.500 0.500 0.000 Sc
```

## Properties
The calculation puts the density of states at the Fermi level at 3.69 states/eV/f.u. The space group is I-42d (122). The formation energy comes out at 261 meV per atom. As for the crystal system: tetragonal.



No. 10
This record from the Alexandria database describes crystalline Li6Mg2CdH at its relaxed geometry. The functional is PBE.

Cell and atoms, written as POSCAR:
```
Li6Mg2CdH
1.0
-5.096 -3.476 -4.223
-0.236 -3.893 3.786
-4.653 -0.853 2.812
Cd Li Mg H
1 6 2 1
Direct
0.500 0.500 0.000 Cd
0.177 0.145 0.580 Li
0.096 0.613 0.140 Li
0.198 0.152 0.055 Li
0.904 0.387 0.860 Li
0.802 0.848 0.945 Li
0.823 0.855 0.420 Li
0.394 0.765 0.425 Mg
0.606 0.235 0.575 Mg
0.000 0.000 0.000 H
```

## Properties
The calculation puts the density of states at the Fermi level at 2.90 states/eV/f.u. The space group is P-1 (2). As for the crystal system: triclinic.



No. 11
This record from the Alexandria database describes crystalline Ca2TbTcO6 at its relaxed geometry. The functional is PBE.

Cell and atoms, written as POSCAR:
```
Ca2TbTcO6
1.0
-2.083 4.949 1.624
-0.894 -2.137 5.364
7.426 2.337 2.168
Ca O Tb Tc
4 12 2 2
Direct
0.483 0.444 0.248 Ca
0.017 0.944 0.252 Ca
0.983 0.056 0.748 Ca
0.517 0.556 0.752 Ca
0.388 0.954 0.732 O
0.112 0.454 0.768 O
0.786 0.815 0.556 O
0.888 0.546 0.232 O
0.214 0.185 0.444 O
0.178 0.217 0.064 O
0.822 0.783 0.936 O
0.714 0.315 0.944 O
0.612 0.046 0.268 O
0.286 0.685 0.056 O
0.322 0.717 0.436 O
0.678 0.283 0.564 O
0.500 0.000 0.000 Tb
0.000 0.500 0.500 Tb
0.000 0.500 0.000 Tc
0.500 0.000 0.500 Tc
```

## Properties
The calculation puts the density of states at the Fermi level at 5.47 states/eV/f.u. The calculation puts the uncorrected formation energy at -2.585 eV per atom. The space group is P2_1/c (14). As for the crystal system: monoclinic.



No. 12
This record from the Alexandria database describes crystalline LiPaIn2Te4 at its relaxed geometry. The functional is PBE.

Cell and atoms, written as POSCAR:
```
LiPaIn2Te4
1.0
4.431 0.000 0.000
0.000 7.389 0.133
0.000 -2.612 7.980
Te Li Pa In
4 1 1 2
Direct
0.000 0.248 0.783 Te
0.000 0.752 0.217 Te
0.500 0.236 0.217 Te
0.500 0.764 0.783 Te
0.500 0.500 0.000 Li
0.000 0.000 0.000 Pa
0.500 0.000 0.500 In
0.000 0.500 0.500 In
```

## Properties
The calculation puts the density of states at the Fermi level at 1.47 states/eV/f.u. The calculation puts the uncorrected formation energy at -0.596 eV per atom. The space group is P2/m (10). As for the crystal system: monoclinic.



| no. | total energy (eV/atom) |
| --- | --- |
| 1 | -4.560 |
| 2 | -2.950 |
| 3 | -3.844 |
| 4 | -4.759 |
| 5 | -5.728 |
| 6 | -3.090 |
| 7 | -3.539 |
| 8 | -6.835 |
| 9 | -3.962 |
| 10 | -2.002 |
| 11 | -7.460 |
| 12 | -4.277 |